DFT (PBE) results for an optimized crystal structure of ScHIrRh2.

Properties
As for the energy above the most stable polymorph in this dataset: 0.05 eV per formula unit. The calculation puts the calculated density at 11.72 Mg/m³. The value obtained for the calculated volume is 12.6 Å³/atom.

a b c (Å): 3.912 3.912 4.111
angles (deg): 90.00 90.00 90.00
Sites, in units of the cell vectors:
Sc1 0.000 0.000 0.000
H1 0.000 0.000 0.500
Ir1 0.500 0.500 0.000
Rh1 0.000 0.500 0.500
Rh2 0.500 0.000 0.500